# 1
Density functional theory data (PBE-GGA) for a relaxed Pa2VFe9 crystal.

POSCAR file:
```
Pa2VFe9
1.0
-1.971 0.317 4.292
-4.711 -0.086 0.454
-2.006 -8.241 2.297
Pa V Fe
2 1 9
direct
0.860 0.860 0.420 Pa
0.140 0.140 0.580 Pa
0.000 0.000 0.000 V
0.667 0.667 0.000 Fe
0.333 0.333 0.000 Fe
0.500 0.500 0.500 Fe
0.422 0.422 0.235 Fe
0.921 0.422 0.235 Fe
0.422 0.921 0.235 Fe
0.578 0.578 0.765 Fe
0.578 0.079 0.765 Fe
0.079 0.578 0.765 Fe
```

Formation energy from the elements   0.022 eV/atom



# 2
Density functional theory data (PBE-GGA) for a relaxed KCaPr crystal.

POSCAR file:
```
KCaPr
1.0
6.258 0.000 0.000
-3.129 2.059 0.000
0.000 0.000 20.681
Ca Pr K
2 2 2
direct
0.694 0.388 0.000 Ca
0.195 0.389 0.500 Ca
0.695 0.390 0.647 Pr
0.695 0.390 0.353 Pr
0.194 0.388 0.821 K
0.194 0.388 0.179 K
```

Formation energy from the elements   0.228 eV/atom



# 3
Density functional theory data (PBE-GGA) for a relaxed CsI3O crystal.

POSCAR file:
```
CsI3O
1.0
-2.734 1.950 -4.256
1.284 -4.428 -2.853
-4.502 -2.447 1.771
Cs I O
1 3 1
direct
0.500 0.500 0.500 Cs
0.000 0.500 0.000 I
0.000 0.000 0.500 I
0.500 0.000 0.000 I
0.000 0.000 0.000 O
```

Polymorph energy (0 for the lowest one)   57 meV/atom
ΔE_f (raw)   -0.28 eV per atom



# 4
Density functional theory data (PBE-GGA) for a relaxed NaHo3Te4O12 crystal.

POSCAR file:
```
NaHo3Te4O12
1.0
0.008 7.561 -1.535
-6.030 -3.247 -3.552
-0.778 -0.986 7.612
Na Ho Te O
1 3 4 12
direct
0.000 0.000 0.000 Na
0.558 0.442 0.000 Ho
0.442 0.000 0.558 Ho
0.000 0.558 0.442 Ho
0.947 0.053 0.500 Te
0.053 0.500 0.947 Te
0.500 0.947 0.053 Te
0.500 0.500 0.500 Te
0.500 0.336 0.664 O
0.888 0.500 0.112 O
0.112 0.888 0.500 O
0.500 0.112 0.888 O
0.353 0.927 0.222 O
0.222 0.353 0.927 O
0.927 0.222 0.353 O
0.647 0.778 0.073 O
0.073 0.647 0.778 O
0.778 0.073 0.647 O
0.664 0.500 0.336 O
0.336 0.664 0.500 O
```

ΔE_f (raw)   -1.72 eV per atom



# 5
Density functional theory data (PBE-GGA) for a relaxed KCuRh crystal.

POSCAR file:
```
KCuRh
1.0
-2.005 1.911 0.827
1.470 -1.502 1.984
5.307 5.477 0.215
Cu K Rh
1 1 1
direct
0.000 0.000 0.961 Cu
0.333 0.667 0.341 K
0.667 0.333 0.698 Rh
```

Formation energy from the elements   0.690 eV/atom
Polymorph energy (0 for the lowest one)   310 meV/atom



# 6
Density functional theory data (PBE-GGA) for a relaxed SmYErSc crystal.

POSCAR file:
```
SmYErSc
1.0
3.749 0.000 0.601
0.000 5.599 0.000
0.966 -2.799 5.964
Sm Y Er Sc
1 1 1 1
direct
0.648 0.413 0.826 Sm
0.428 0.137 0.273 Y
0.191 0.871 0.742 Er
0.919 0.644 0.288 Sc
```

Formation energy from the elements   0.104 eV/atom
Polymorph energy (0 for the lowest one)   0 meV/atom



# 7
Density functional theory data (PBE-GGA) for a relaxed CdRhW2 crystal.

POSCAR file:
```
CdRhW2
1.0
2.806 0.000 0.000
0.000 2.807 -0.028
0.000 0.170 8.404
Cd Rh W
1 1 2
direct
0.000 0.002 0.514 Cd
0.500 0.495 0.769 Rh
0.000 0.987 0.979 W
0.500 0.516 0.238 W
```

Formation energy from the elements   0.154 eV/atom



# 8
Density functional theory data (PBE-GGA) for a relaxed Ce2TmGe2 crystal.

POSCAR file:
```
Ce2TmGe2
1.0
-0.845 -2.824 -2.789
7.285 -2.915 0.745
-2.522 -4.851 5.677
Ce Tm Ge
4 2 4
direct
0.500 0.129 0.629 Ce
0.500 0.629 0.871 Ce
0.500 0.871 0.371 Ce
0.500 0.371 0.129 Ce
0.000 0.000 0.000 Tm
0.000 0.500 0.500 Tm
0.000 0.333 0.833 Ge
0.000 0.833 0.667 Ge
0.000 0.667 0.167 Ge
0.000 0.167 0.333 Ge
```

Formation energy from the elements   -0.731 eV/atom



# 9
Density functional theory data (PBE-GGA) for a relaxed Na3Y2SbSe6 crystal.

POSCAR file:
```
Na3Y2SbSe6
1.0
-3.650 0.174 -6.218
7.059 -1.479 -0.002
-2.565 -6.389 2.719
Na Y Sb Se
3 2 1 6
direct
0.163 0.837 0.500 Na
0.837 0.163 0.500 Na
0.500 0.500 0.500 Na
0.333 0.667 0.000 Y
0.667 0.333 0.000 Y
0.000 0.000 0.000 Sb
0.923 0.589 0.770 Se
0.742 0.742 0.229 Se
0.077 0.411 0.230 Se
0.589 0.923 0.770 Se
0.258 0.258 0.771 Se
0.411 0.077 0.230 Se
```

ΔE_f (raw)   -1.36 eV per atom



# 10
Density functional theory data (PBE-GGA) for a relaxed CsFe2H crystal.

POSCAR file:
```
CsFe2H
1.0
5.758 0.000 0.000
0.000 5.758 0.000
2.879 2.879 4.046
Cs H Fe
2 2 4
direct
0.000 0.000 0.000 Cs
0.750 0.250 0.500 Cs
0.500 0.500 0.000 H
0.250 0.750 0.500 H
0.377 0.125 0.250 Fe
0.373 0.625 0.250 Fe
0.375 0.623 0.750 Fe
0.875 0.627 0.750 Fe
```

Polymorph energy (0 for the lowest one)   0 meV/atom



# 11
Density functional theory data (PBE-GGA) for a relaxed OsPtSe2 crystal.

POSCAR file:
```
OsPtSe2
1.0
2.848 0.000 0.000
0.000 5.190 0.000
0.000 0.000 4.542
Os Pt Se
1 1 2
direct
0.500 0.000 0.500 Os
0.000 0.500 0.500 Pt
0.000 0.000 0.000 Se
0.500 0.500 0.000 Se
```

Polymorph energy (0 for the lowest one)   599 meV/atom
ΔE_f (raw)   0.76 eV per atom



# 12
Density functional theory data (PBE-GGA) for a relaxed Pr5Zn4In crystal.

POSCAR file:
```
Pr5Zn4In
1.0
-1.509 -1.848 2.856
1.877 -3.058 -0.987
14.577 5.349 11.161
Pr Zn In
5 4 1
direct
0.500 0.500 0.113 Pr
0.500 0.500 0.306 Pr
0.500 0.500 0.500 Pr
0.500 0.500 0.694 Pr
0.500 0.500 0.887 Pr
0.000 0.000 0.211 Zn
0.000 0.000 0.402 Zn
0.000 0.000 0.598 Zn
0.000 0.000 0.789 Zn
0.000 0.000 0.000 In
```

Formation energy from the elements   -0.334 eV/atom



# 13
Density functional theory data (PBE-GGA) for a relaxed CoOs2Se2 crystal.

POSCAR file:
```
CoOs2Se2
1.0
-2.061 2.061 5.372
2.061 -2.061 5.372
2.061 2.061 -5.372
Co Os Se
1 2 2
direct
0.000 0.000 0.000 Co
0.250 0.750 0.500 Os
0.750 0.250 0.500 Os
0.628 0.628 0.000 Se
0.372 0.372 0.000 Se
```

ΔE_f (raw)   0.89 eV per atom



# 14
Density functional theory data (PBE-GGA) for a relaxed ThCrTcGe2 crystal.

POSCAR file:
```
ThCrTcGe2
1.0
-2.814 1.822 -2.483
0.285 -3.195 -2.667
-2.674 -1.842 5.184
Th Cr Tc Ge
1 1 1 2
direct
0.000 0.000 0.000 Th
0.250 0.750 0.500 Cr
0.750 0.250 0.500 Tc
0.622 0.622 0.243 Ge
0.378 0.378 0.757 Ge
```

Formation energy from the elements   -0.417 eV/atom



# 15
Density functional theory data (PBE-GGA) for a relaxed NiPbBr2 crystal.

POSCAR file:
```
NiPbBr2
1.0
8.977 0.013 0.007
8.238 3.568 0.007
8.238 1.713 3.130
Br Ni Pb
2 1 1
direct
0.973 0.973 0.973 Br
0.527 0.527 0.527 Br
0.250 0.250 0.250 Ni
0.750 0.750 0.750 Pb
```

Polymorph energy (0 for the lowest one)   145 meV/atom
ΔE_f (raw)   -0.19 eV per atom



# 16
Density functional theory data (PBE-GGA) for a relaxed TbEr2Cu crystal.

POSCAR file:
```
TbEr2Cu
1.0
-3.316 5.514 -0.246
-4.690 -2.636 4.121
4.896 3.286 7.673
Tb Er Cu
4 8 4
direct
0.631 0.515 0.250 Tb
0.869 0.015 0.250 Tb
0.369 0.485 0.750 Tb
0.131 0.985 0.750 Tb
0.184 0.688 0.059 Er
0.316 0.188 0.441 Er
0.816 0.312 0.559 Er
0.684 0.812 0.941 Er
0.816 0.312 0.941 Er
0.684 0.812 0.559 Er
0.184 0.688 0.441 Er
0.316 0.188 0.059 Er
0.057 0.403 0.250 Cu
0.443 0.903 0.250 Cu
0.943 0.597 0.750 Cu
0.557 0.097 0.750 Cu
```

Formation energy from the elements   -0.113 eV/atom
Polymorph energy (0 for the lowest one)   0 meV/atom



# 17
Density functional theory data (PBE-GGA) for a relaxed CaPrDy2In4 crystal.

POSCAR file:
```
CaPrDy2In4
1.0
5.385 0.000 0.000
2.693 4.664 0.000
2.693 1.555 8.865
Ca Pr Dy In
1 1 2 4
direct
0.500 0.500 0.500 Ca
0.000 0.000 0.000 Pr
0.752 0.752 0.744 Dy
0.248 0.248 0.256 Dy
0.376 0.376 0.873 In
0.874 0.874 0.377 In
0.126 0.126 0.623 In
0.624 0.624 0.127 In
```

Formation energy from the elements   -0.463 eV/atom



# 18
Density functional theory data (PBE-GGA) for a relaxed FeRuRh2 crystal.

POSCAR file:
```
FeRuRh2
1.0
8.761 -0.018 -0.011
8.346 2.662 -0.011
8.346 1.290 2.329
Fe Rh Ru
1 2 1
direct
0.750 0.750 0.750 Fe
0.001 0.001 0.001 Rh
0.499 0.499 0.499 Rh
0.250 0.250 0.250 Ru
```

Formation energy from the elements   0.059 eV/atom



# 19
Density functional theory data (PBE-GGA) for a relaxed Cd8GaHg6 crystal.

POSCAR file:
```
Cd8GaHg6
1.0
7.265 1.600 0.614
0.686 7.408 0.614
1.413 1.600 7.153
Cd Ga Hg
8 1 6
direct
0.415 0.415 0.415 Cd
0.585 0.585 0.585 Cd
0.233 0.348 0.939 Cd
0.939 0.233 0.348 Cd
0.348 0.939 0.233 Cd
0.767 0.652 0.061 Cd
0.061 0.767 0.652 Cd
0.652 0.061 0.767 Cd
0.000 0.000 0.000 Ga
0.605 0.280 0.057 Hg
0.057 0.605 0.280 Hg
0.280 0.057 0.605 Hg
0.395 0.720 0.943 Hg
0.943 0.395 0.720 Hg
0.720 0.943 0.395 Hg
```

Formation energy from the elements   0.058 eV/atom
Polymorph energy (0 for the lowest one)   11 meV/atom



# 20
Density functional theory data (PBE-GGA) for a relaxed AgSnP2O8 crystal.

POSCAR file:
```
AgSnP2O8
1.0
4.937 0.000 0.000
-2.469 4.276 0.000
0.000 0.000 7.434
Ag Sn P O
1 1 2 8
direct
0.000 0.000 0.000 Ag
0.000 0.000 0.500 Sn
0.667 0.333 0.262 P
0.333 0.667 0.738 P
0.333 0.667 0.947 O
0.352 0.295 0.329 O
0.705 0.056 0.329 O
0.667 0.333 0.053 O
0.295 0.944 0.671 O
0.648 0.705 0.671 O
0.056 0.352 0.671 O
0.944 0.648 0.329 O
```

ΔE_f (raw)   -1.61 eV per atom



no.,energy (eV per cell)
1,-104.02
2,-14.39
3,-11.88
4,-121.52
5,-10.48
6,-21.66
7,-33.56
8,-58.46
9,-58.20
10,-35.23
11,-21.18
12,-35.07
13,-32.11
14,-38.73
15,-13.58
16,-73.22
17,-30.65
18,-32.21
19,-11.29
20,-76.61